1.
! LaPaSe4 | the Alexandria database | PBE | optimized geometry; values from VASP
&SYSTEM
  ibrav = 0, nat = 12, ntyp = 3
/
ATOMIC_SPECIES
La 138.91 La.upf
Pa 231.04 Pa.upf
Se 78.96 Se.upf
ATOMIC_POSITIONS crystal
La 0.240 0.250 0.434
La 0.760 0.750 0.566
Pa 0.244 0.250 0.936
Pa 0.756 0.750 0.064
Se 0.075 0.750 0.380
Se 0.079 0.750 0.908
Se 0.495 0.502 0.768
Se 0.495 0.998 0.768
Se 0.505 0.002 0.232
Se 0.505 0.498 0.232
Se 0.921 0.250 0.092
Se 0.925 0.250 0.620
CELL_PARAMETERS angstrom
6.685 0.000 0.000
0.000 5.866 0.000
-2.578 0.000 7.918
! **ΔE to the lowest computed polymorph**: 23 meV/atom
! **Uncorrected energy**: -6.290 eV/atom
! **Formation energy without anion corrections**: -1.56 eV/atom
! **Calculated density**: 7.34 g/cm3

---

2.
! La5PaSe6 | the Alexandria database | PBE | optimized geometry; values from VASP
&SYSTEM
  ibrav = 0, nat = 12, ntyp = 3
/
ATOMIC_SPECIES
La 138.91 La.upf
Pa 231.04 Pa.upf
Se 78.96 Se.upf
ATOMIC_POSITIONS crystal
La 0.000 0.000 0.000
La 0.165 0.835 0.500
La 0.327 0.673 0.000
La 0.673 0.327 0.000
La 0.835 0.165 0.500
Pa 0.500 0.500 0.500
Se 0.097 0.420 0.259
Se 0.261 0.261 0.749
Se 0.420 0.097 0.259
Se 0.580 0.903 0.741
Se 0.739 0.739 0.251
Se 0.903 0.580 0.741
CELL_PARAMETERS angstrom
3.696 -6.405 0.000
3.696 6.405 0.000
-2.477 0.000 6.979
! **Uncorrected energy**: -6.430 eV/atom
! **Formation energy without anion corrections**: -1.84 eV/atom
! **Calculated density**: 7.03 g/cm3

---

3.
! La2Pa3Se8 | the Alexandria database | PBE | optimized geometry; values from VASP
&SYSTEM
  ibrav = 0, nat = 13, ntyp = 3
/
ATOMIC_SPECIES
La 138.91 La.upf
Pa 231.04 Pa.upf
Se 78.96 Se.upf
ATOMIC_POSITIONS crystal
La 0.247 0.000 0.218
La 0.753 0.000 0.782
Pa 0.000 0.000 0.500
Pa 0.260 0.500 0.803
Pa 0.740 0.500 0.197
Se 0.105 0.500 0.360
Se 0.126 0.000 0.906
Se 0.348 0.000 0.652
Se 0.382 0.500 0.100
Se 0.618 0.500 0.900
Se 0.652 0.000 0.348
Se 0.874 0.000 0.094
Se 0.895 0.500 0.640
CELL_PARAMETERS angstrom
8.226 0.000 0.000
0.000 4.440 0.000
-3.057 0.000 10.493
! **ΔE to the lowest computed polymorph**: 18 meV/atom
! **Uncorrected energy**: -6.600 eV/atom
! **Formation energy without anion corrections**: -1.51 eV/atom
! **Calculated density**: 6.94 g/cm3

---

4.
! La2PaSe4 | the Alexandria database | PBE | optimized geometry; values from VASP
&SYSTEM
  ibrav = 0, nat = 14, ntyp = 3
/
ATOMIC_SPECIES
La 138.91 La.upf
Pa 231.04 Pa.upf
Se 78.96 Se.upf
ATOMIC_POSITIONS crystal
La 0.163 0.250 0.042
La 0.185 0.250 0.535
La 0.815 0.750 0.465
La 0.837 0.750 0.958
Pa 0.311 0.750 0.851
Pa 0.689 0.250 0.149
Se 0.008 0.000 0.743
Se 0.008 0.500 0.743
Se 0.453 0.250 0.850
Se 0.472 0.250 0.357
Se 0.528 0.750 0.643
Se 0.547 0.750 0.150
Se 0.992 0.000 0.257
Se 0.992 0.500 0.257
CELL_PARAMETERS angstrom
7.752 0.000 0.000
0.000 7.053 0.000
-2.023 0.000 8.224
! **Uncorrected energy**: -6.225 eV/atom
! **Formation energy without anion corrections**: -1.47 eV/atom
! **Calculated density**: 6.09 g/cm3

---

5.
! La3PaSe6 | the Alexandria database | PBE | optimized geometry; values from VASP
&SYSTEM
  ibrav = 0, nat = 20, ntyp = 3
/
ATOMIC_SPECIES
La 138.91 La.upf
Pa 231.04 Pa.upf
Se 78.96 Se.upf
ATOMIC_POSITIONS crystal
La 0.098 0.902 0.500
La 0.208 0.412 0.398
La 0.412 0.208 0.898
La 0.588 0.792 0.398
La 0.792 0.588 0.898
La 0.902 0.098 0.000
Pa 0.341 0.659 0.893
Pa 0.659 0.341 0.393
Se 0.079 0.597 0.696
Se 0.131 0.192 0.701
Se 0.192 0.131 0.201
Se 0.270 0.730 0.247
Se 0.403 0.921 0.696
Se 0.492 0.508 0.633
Se 0.508 0.492 0.133
Se 0.597 0.079 0.196
Se 0.730 0.270 0.747
Se 0.808 0.869 0.701
Se 0.869 0.808 0.201
Se 0.921 0.403 0.196
CELL_PARAMETERS angstrom
5.875 -7.161 0.000
5.875 7.161 0.000
0.000 0.000 7.332
! **Uncorrected energy**: -6.261 eV/atom
! **Formation energy without anion corrections**: -1.74 eV/atom
! **Calculated density**: 6.04 g/cm3

---

6.
! LaPaSe2 | the Alexandria database | PBE | optimized geometry; values from VASP
&SYSTEM
  ibrav = 0, nat = 4, ntyp = 3
/
ATOMIC_SPECIES
La 138.91 La.upf
Pa 231.04 Pa.upf
Se 78.96 Se.upf
ATOMIC_POSITIONS crystal
La 0.000 0.000 0.000
Pa 0.000 0.000 0.500
Se 0.500 0.500 0.265
Se 0.500 0.500 0.735
CELL_PARAMETERS angstrom
3.619 0.000 0.000
0.000 3.619 0.000
0.000 0.000 7.289
! **ΔE to the lowest computed polymorph**: 224 meV/atom
! **Uncorrected energy**: -6.687 eV/atom
! **Formation energy without anion corrections**: -1.34 eV/atom
! **Calculated density**: 9.18 g/cm3

---

7.
! LaPaSi2 | the Alexandria database | PBE | optimized geometry; values from VASP
&SYSTEM
  ibrav = 0, nat = 4, ntyp = 3
/
ATOMIC_SPECIES
La 138.91 La.upf
Pa 231.04 Pa.upf
Si 28.09 Si.upf
ATOMIC_POSITIONS crystal
La 0.000 0.000 0.000
Pa 0.500 0.500 0.500
Si 0.241 0.241 0.241
Si 0.759 0.759 0.759
CELL_PARAMETERS angstrom
2.114 1.221 6.924
-2.114 1.221 6.924
0.000 -2.442 6.924
! **ΔE to the lowest computed polymorph**: 0 meV/atom
! **Uncorrected energy**: -6.754 eV/atom
! **Formation energy without anion corrections**: -0.44 eV/atom
! **Calculated density**: 6.60 g/cm3

---

8.
! LaPaSi | the Alexandria database | PBE | optimized geometry; values from VASP
&SYSTEM
  ibrav = 0, nat = 3, ntyp = 3
/
ATOMIC_SPECIES
La 138.91 La.upf
Pa 231.04 Pa.upf
Si 28.09 Si.upf
ATOMIC_POSITIONS crystal
La 0.000 0.000 0.000
Pa 0.333 0.667 0.376
Si 0.667 0.333 0.655
CELL_PARAMETERS angstrom
4.541 0.000 0.000
-2.271 3.933 0.000
0.000 0.000 4.076
! **ΔE to the lowest computed polymorph**: 467 meV/atom
! **Uncorrected energy**: -6.586 eV/atom
! **Formation energy without anion corrections**: 0.03 eV/atom
! **Calculated density**: 9.08 g/cm3

---

Question: Among the records above, which one has the highest calculated density?
Answer: LaPaSe2

---

Question: Which value of uncorrected energy does entry 1 give?
Answer: -6.290 eV/atom

---

Question: Among the records above, which one has the lowest formation energy without anion corrections?
Answer: La5PaSe6

---

Question: uncorrected energy of number 6 (LaPaSe2)?
Answer: -6.687 eV/atom